Below is an optimized crystal structure of TmBeCu, with properties calculated at the PBE level.

a = 4.419 Å, b = 4.419 Å, c = 4.419 Å
α = 60.00°, β = 60.00°, γ = 60.00°
Fractional coordinates of all 3 atoms:
Tm1 0.000 0.000 0.000
Cu1 0.750 0.750 0.750
Be1 0.250 0.250 0.250

energy relative to the lowest polymorph listed for this composition: 513 meV/atom
volume: 20.3 Å³/atom
space-group type: No. 216


Below is an optimized crystal structure of Na2PdCl5, with properties calculated at the PBE level.

a = 7.026 Å, b = 7.026 Å, c = 12.228 Å
α = 90.00°, β = 90.00°, γ = 135.89°
Fractional coordinates of all 16 atoms:
Cl1 0.945 0.055 0.616
Cl2 0.945 0.055 0.884
Cl3 0.693 0.307 0.611
Cl4 0.307 0.693 0.111
Cl5 0.055 0.945 0.116
Cl6 0.693 0.307 0.889
Cl7 0.309 0.691 0.750
Cl8 0.055 0.945 0.384
Cl9 0.691 0.309 0.250
Cl10 0.307 0.693 0.389
Na1 0.840 0.160 0.421
Na2 0.840 0.160 0.079
Na3 0.160 0.840 0.579
Na4 0.160 0.840 0.921
Pd1 0.181 0.819 0.250
Pd2 0.819 0.181 0.750

DFT total energy: -51.74 eV/cell
volume: 26.3 Å³/atom
space-group type: No. 63


Which of these has the lowest volume?
TmBeCu